MnTl2P2O6 after structural relaxation. Source: Alexandria, functional PBE+U.

As for the electronic total energy: -6.534 eV/atom. Its density is 6.30 g/cm3.

Cell: 5.7971 5.7971 16.8796 Å, 90.00 90.00 120.00°
Space group R-3m (No. 166, hexagonal axes)
Symmetry-distinct sites (fractional):
Mn (0.0000, 0.0000, 0.0000) (multiplicity 3)
Tl (0.0000, 0.0000, 0.2249) (multiplicity 6)
P (0.0000, 0.0000, 0.4338) (multiplicity 6)
O (0.0369, 0.5184, 0.2584) (multiplicity 18)